1.
VASP calculation (PBE-GGA) on an optimized crystal structure of LaTa2AgO7.

Cell: 11.2325 11.2325 11.2325 Å, 159.90 159.90 28.57°
Last column: nearest neighbours and their distance in Å.
Positions (direct):
La: 0.0000 0.0000 0.0000  12 O 2.68-2.77
O: 0.9158 0.4158 0.5000  2 Ta 2.01
O: 0.5842 0.0842 0.5000  2 Ta 2.01
Ta: 0.3958 0.3958 0.0000  5 O 1.81-2.01
O: 0.5000 0.5000 0.0000  2 Ta 2.27
Ta: 0.6042 0.6042 0.0000  5 O 1.81-2.01
O: 0.3125 0.3125 0.0000  1 Ta 1.81
O: 0.0854 0.5854 0.5000  2 Ta 2.00
O: 0.4146 0.9146 0.5000  2 Ta 2.00
O: 0.6875 0.6875 0.0000  1 Ta 1.81
Ag: 0.2500 0.7500 0.5000  4 O 2.39

Calculated values
DOS(E_F): 0.00 states/eV/f.u.
formation energy without anion corrections: -2.64 eV/atom
total moment: 0.00 μB/cell
calculated total energy: -8.66 eV/atom
space group: I-4m2

---

2.
VASP calculation (PBE-GGA) on an optimized crystal structure of SrPm5Cd6.

Cell: 5.4553 7.7571 8.6220 Å, 90.00 71.56 90.00°
Last column: nearest neighbours and their distance in Å.
Positions (direct):
Cd: 0.8290 0.2556 0.3421  7 Pm 3.29-3.38, 1 Sr 3.43
Pm: 0.3334 0.0000 0.3331  8 Cd 3.31-3.39
Cd: 0.5000 0.7410 0.0000  6 Pm 3.28-3.39, 2 Sr 3.39
Cd: 0.1710 0.7444 0.6579  7 Pm 3.29-3.38, 1 Sr 3.43
Cd: 0.8290 0.7444 0.3421  7 Pm 3.29-3.38, 1 Sr 3.43
Cd: 0.5000 0.2590 0.0000  6 Pm 3.28-3.39, 2 Sr 3.39
Pm: 0.3351 0.5000 0.3298  8 Cd 3.28-3.32
Sr: 0.0000 0.0000 0.0000  8 Cd 3.39-3.43
Cd: 0.1710 0.2556 0.6579  7 Pm 3.29-3.38, 1 Sr 3.43
Pm: 0.6666 0.0000 0.6669  8 Cd 3.31-3.39
Pm: 0.6649 0.5000 0.6702  8 Cd 3.28-3.32
Pm: 0.0000 0.5000 0.0000  8 Cd 3.31-3.38

Calculated values
DOS(E_F): 13.10 states/eV/f.u.
ΔE_f: -309.1 meV/atom
total moment: 1.17 μB/cell
calculated total energy: -2.89 eV/atom
space group: Cmmm

---

3.
VASP calculation (PBE-GGA) on an optimized crystal structure of Dy6NpSe8.

Cell: 8.1323 8.1323 8.1323 Å, 60.00 60.00 60.00°
Last column: nearest neighbours and their distance in Å.
Positions (direct):
Se: 0.7441 0.7441 0.2559  4 Dy 2.88, 1 Np 2.94
Dy: 0.5000 0.0000 0.0000  6 Se 2.88
Se: 0.7441 0.2559 0.2559  4 Dy 2.88, 1 Np 2.94
Dy: 0.0000 0.0000 0.5000  6 Se 2.88
Np: 0.0000 0.0000 0.0000  6 Se 2.94
Dy: 0.0000 0.5000 0.5000  6 Se 2.88
Se: 0.2559 0.7441 0.7441  4 Dy 2.88, 1 Np 2.94
Se: 0.2500 0.2500 0.2500  6 Dy 2.88
Se: 0.2559 0.2559 0.7441  4 Dy 2.88, 1 Np 2.94
Dy: 0.0000 0.5000 0.0000  6 Se 2.88
Se: 0.7441 0.2559 0.7441  4 Dy 2.88, 1 Np 2.94
Se: 0.2559 0.7441 0.2559  4 Dy 2.88, 1 Np 2.94
Se: 0.7500 0.7500 0.7500  6 Dy 2.88
Dy: 0.5000 0.0000 0.5000  6 Se 2.88
Dy: 0.5000 0.5000 0.0000  6 Se 2.88

Calculated values
DOS(E_F): 16.59 states/eV/f.u.
formation energy without anion corrections: -1.71 eV/atom
total moment: 5.11 μB/cell
calculated total energy: -6.27 eV/atom
space group: Fm-3m

---

4.
VASP calculation (PBE-GGA) on an optimized crystal structure of In2BiRuBr.

Cell: 5.2885 5.2885 5.1061 Å, 90.00 90.00 90.00°
Last column: nearest neighbours and their distance in Å.
Positions (direct):
Ru: 0.0000 0.0000 0.0000  2 Bi 2.55, 4 In 2.64
In: 0.5000 0.0000 0.0000  2 Ru 2.64
Bi: 0.0000 0.0000 0.5000  2 Ru 2.55
In: 0.0000 0.5000 0.0000  2 Ru 2.64
Br: 0.5000 0.5000 0.5000  8 In 3.68, 4 Bi 3.74

Calculated values
DOS(E_F): 0.99 states/eV/f.u.
formation energy without anion corrections: -0.18 eV/atom
total moment: 0.00 μB/cell
calculated total energy: -4.24 eV/atom
space group: P4/mmm

---

5.
VASP calculation (PBE-GGA) on an optimized crystal structure of Ac4SiS2Cl.

Cell: 6.1873 6.1873 7.6178 Å, 113.96 113.96 90.01°
Last column: nearest neighbours and their distance in Å.
Positions (direct):
Ac: 0.4372 0.9373 0.0000  2 Si 3.09, 2 Cl 3.09, 2 S 3.12
Cl: 0.4373 0.4373 0.0000  6 Ac 3.09-3.20
Ac: 0.9373 0.4372 0.0000  2 Si 3.09, 2 Cl 3.09, 2 S 3.12
Ac: 0.6937 0.6937 0.5132  1 Si 3.04, 4 S 3.09, 1 Cl 3.20
S: 0.1871 0.6871 0.5000  6 Ac 3.09-3.12
Ac: 0.1805 0.1805 0.4868  1 Si 3.04, 4 S 3.09, 1 Cl 3.20
S: 0.6871 0.1871 0.5000  6 Ac 3.09-3.12
Si: 0.9371 0.9371 0.0000  6 Ac 3.04-3.09

Calculated values
DOS(E_F): 3.40 states/eV/f.u.
formation energy without anion corrections: -1.57 eV/atom
total moment: 0.00 μB/cell
calculated total energy: -5.56 eV/atom
space group: I4/mmm

---

6.
VASP calculation (PBE-GGA) on an optimized crystal structure of DyTh2Sc.

Cell: 3.5239 3.5239 9.6929 Å, 90.00 90.00 90.00°
Last column: nearest neighbours and their distance in Å.
Positions (direct):
Dy: 0.5000 0.5000 0.5000  4 Dy 3.52, 8 Th 3.55
Th: 0.0000 0.0000 0.2388  4 Sc 3.40, 4 Th 3.52, 4 Dy 3.55
Sc: 0.5000 0.5000 0.0000  8 Th 3.40, 4 Sc 3.52
Th: 0.0000 0.0000 0.7612  4 Sc 3.40, 4 Th 3.52, 4 Dy 3.55

Calculated values
DOS(E_F): 5.40 states/eV/f.u.
ΔE_f: 41.5 meV/atom
energy relative to the lowest polymorph listed for this composition: 0 kJ/mol of formula units
total moment: 0.00 μB/cell
calculated total energy: -6.40 eV/atom
space group: P4/mmm

---

7.
VASP calculation (PBE-GGA) on an optimized crystal structure of Hf2PaH6.

Cell: 3.2716 5.2007 5.8397 Å, 116.44 100.39 90.00°
Last column: nearest neighbours and their distance in Å.
Positions (direct):
H: 0.1640 0.4348 0.3439  3 Hf 2.02-2.11, 1 H 2.13, 1 Pa 2.24
H: 0.5000 0.2965 0.0000  2 Hf 2.08, 3 H 2.12-2.30, 2 Pa 2.25
H: 0.5000 0.7035 0.0000  2 Hf 2.08, 3 H 2.12-2.30, 2 Pa 2.25
Hf: 0.3449 0.3260 0.6520  8 H 2.02-2.11
H: 0.8360 0.5652 0.6561  3 Hf 2.02-2.11, 1 H 2.13, 1 Pa 2.24
Pa: 0.0000 0.0000 0.0000  8 H 2.24-2.25
H: 0.1640 0.9090 0.3439  3 Hf 2.02-2.11, 1 H 2.13, 1 Pa 2.24
Hf: 0.6551 0.6740 0.3480  8 H 2.02-2.11
H: 0.8360 0.0910 0.6561  3 Hf 2.02-2.11, 1 H 2.13, 1 Pa 2.24

Calculated values
DOS(E_F): 5.95 states/eV/f.u.
total moment: 1.13 μB/cell
calculated total energy: -5.90 eV/atom
space group: C2/m

---

8.
VASP calculation (PBE-GGA) on an optimized crystal structure of Er2AlRh.

Cell: 4.9471 4.9471 4.9471 Å, 60.00 60.00 60.00°
Last column: nearest neighbours and their distance in Å.
Positions (direct):
Er: 0.7500 0.7500 0.7500  4 Al 3.03, 4 Rh 3.03
Er: 0.2500 0.2500 0.2500  4 Al 3.03, 4 Rh 3.03
Al: 0.5000 0.5000 0.5000  8 Er 3.03
Rh: 0.0000 0.0000 0.0000  8 Er 3.03

Calculated values
DOS(E_F): 2.48 states/eV/f.u.
ΔE_f: -595.3 meV/atom
energy relative to the lowest polymorph listed for this composition: 30 kJ/mol of formula units
total moment: 0.00 μB/cell
calculated total energy: -5.65 eV/atom
space group: Fm-3m

---

9.
VASP calculation (PBE-GGA) on an optimized crystal structure of MnRe2Rh.

Cell: 8.8530 8.8530 8.8530 Å, 17.66 17.66 17.66°
Last column: nearest neighbours and their distance in Å.
Positions (direct):
Re: 0.2494 0.2494 0.2494  9 Re 2.72-2.78, 3 Rh 2.74
Mn: 0.7497 0.7497 0.7497  3 Re 2.60, 3 Rh 2.63, 6 Mn 2.72
Rh: 0.4969 0.4969 0.4969  3 Mn 2.63, 6 Rh 2.72, 3 Re 2.74
Re: 0.0040 0.0040 0.0040  3 Mn 2.60, 9 Re 2.72-2.78

Calculated values
DOS(E_F): 3.56 states/eV/f.u.
ΔE_f: 78.3 meV/atom
energy relative to the lowest polymorph listed for this composition: 40 kJ/mol of formula units
total moment: 0.01 μB/cell
calculated total energy: -10.28 eV/atom
space group: R3m

---

10.
VASP calculation (PBE-GGA) on an optimized crystal structure of Ac2Al3GaPt4.

Cell: 4.4439 4.4439 10.4472 Å, 90.00 90.00 90.00°
Last column: nearest neighbours and their distance in Å.
Positions (direct):
Ac: 0.0000 0.5000 0.7479  8 Pt 3.37-3.45, 6 Al 3.41-3.43, 2 Ga 3.41
Pt: 0.5000 0.5000 0.0000  4 Al 2.56
Al: 0.0000 0.5000 0.1210  5 Pt 2.56-2.58
Al: 0.0000 0.0000 0.5000  4 Pt 2.62
Al: 0.5000 0.0000 0.8790  5 Pt 2.56-2.58
Pt: 0.0000 0.5000 0.3677  3 Al 2.58-2.62, 2 Ga 2.62
Pt: 0.0000 0.0000 0.0000  4 Al 2.56
Ga: 0.5000 0.5000 0.5000  4 Pt 2.62
Ac: 0.5000 0.0000 0.2521  8 Pt 3.37-3.45, 6 Al 3.41-3.43, 2 Ga 3.41
Pt: 0.5000 0.0000 0.6323  3 Al 2.58-2.62, 2 Ga 2.62

Calculated values
DOS(E_F): 9.46 states/eV/f.u.
ΔE_f: -1061.1 meV/atom
total moment: 0.00 μB/cell
calculated total energy: -5.72 eV/atom
space group: P-4m2

---

11.
VASP calculation (PBE-GGA) on an optimized crystal structure of PmTlIn2.

Cell: 4.9525 4.9525 6.1053 Å, 66.07 66.07 60.00°
Last column: nearest neighbours and their distance in Å.
Positions (direct):
In: 0.7622 0.7622 0.7133  3 Tl 3.08, 3 Pm 3.25
Tl: 0.5000 0.5000 0.5000  6 In 3.08
In: 0.2378 0.2378 0.2867  3 Tl 3.08, 3 Pm 3.25
Pm: 0.0000 0.0000 0.0000  6 In 3.25

Calculated values
DOS(E_F): 1.65 states/eV/f.u.
ΔE_f: -149.5 meV/atom
energy relative to the lowest polymorph listed for this composition: 98 kJ/mol of formula units
total moment: 0.00 μB/cell
calculated total energy: -3.30 eV/atom
space group: R-3m

---

12.
VASP calculation (PBE-GGA) on an optimized crystal structure of LaZnW2.

Cell: 5.6561 5.6561 2.7500 Å, 90.00 90.00 118.36°
Last column: nearest neighbours and their distance in Å.
Positions (direct):
W: 0.5000 0.5000 0.0000  4 W 2.75-2.90
W: 0.0000 0.0000 0.0000  4 W 2.75-2.90
La: 0.0000 0.5000 0.5000  2 La 2.75, 2 Zn 2.90
Zn: 0.5000 0.0000 0.5000  2 Zn 2.75, 2 La 2.90

Calculated values
DOS(E_F): 2.56 states/eV/f.u.
ΔE_f: 884.1 meV/atom
total moment: 0.00 μB/cell
calculated total energy: -7.14 eV/atom
space group: Cmmm